BaLi9Cd2 | PBE-GGA | relaxed

D(E_F)	12.25	states/eV/cell
M_tot	0.0	μB per formula unit
raw total energy	-1.83	eV per atom

POSCAR file:
```
BaLi9Cd2
1.0
-4.357 1.877 -3.150
-4.423 -8.538 1.031
-4.383 3.235 7.990
Li Cd Ba
18 4 2
direct
0.500 0.500 0.000
0.500 0.781 0.073
0.231 0.326 0.174
0.769 0.674 0.826
0.769 0.326 0.174
0.500 0.281 0.427
0.769 0.174 0.674
0.231 0.174 0.674
0.769 0.826 0.326
0.500 0.073 0.219
0.500 0.719 0.573
0.500 0.927 0.781
0.231 0.674 0.826
0.500 0.573 0.281
0.500 0.427 0.719
0.231 0.826 0.326
0.500 0.000 0.500
0.500 0.219 0.927
0.000 0.886 0.614
0.000 0.114 0.386
0.000 0.614 0.114
0.000 0.386 0.886
0.000 0.500 0.500
0.000 0.000 0.000
```